1.
The following is a DFT calculation (PBE-GGA) of a relaxed Ga3HSe crystal.

It has space group Pm-3m (No. 221), with a = 5.4771 Å, b = 5.4771 Å, c = 5.4771 Å, α = 90.00°, β = 90.00° and γ = 90.00°. The asymmetric unit holds Ga at (0.0000, 0.0000, 0.5000), H at (0.5000, 0.5000, 0.5000) and Se at (0.0000, 0.0000, 0.0000).

The volume is 32.86 A^3/atom. As for the final energy: -2.413 eV/atom.

2.
The following is a DFT calculation (PBE-GGA) of a relaxed Sr2UCrSe6 crystal.

It has space group P2_1/c (No. 14), with a = 7.0282 Å, b = 7.4347 Å, c = 12.2773 Å, α = 90.00°, β = 123.96° and γ = 90.00°. The asymmetric unit holds Sr at (0.2181, 0.0833, 0.2458), U at (0.5000, 0.0000, 0.0000), Cr at (0.0000, 0.0000, 0.5000), Se at (0.1367, 0.2062, 0.9533), Se at (0.2518, 0.6878, 0.9528) and Se at (0.3331, 0.0120, 0.7393).

The calculation puts the uncorrected formation energy at -1300.1 meV per atom. The volume is 26.61 A^3/atom.

3.
The following is a DFT calculation (PBE-GGA) of a relaxed RbInHg2 crystal.

It has space group P4/mmm (No. 123), with a = 3.9989 Å, b = 3.9989 Å, c = 8.1688 Å, α = 90.00°, β = 90.00° and γ = 90.00°. The asymmetric unit holds Rb at (0.0000, 0.0000, 0.0000), In at (0.0000, 0.0000, 0.5000) and Hg at (0.5000, 0.5000, 0.2969).

The volume is 32.66 A^3/atom. The energy of formation comes out at -0.126 eV per atom.

4.
The following is a DFT calculation (PBE-GGA) of a relaxed Ac3SiTeBr crystal.

It has space group P2_1/m (No. 11), with a = 9.5342 Å, b = 4.5878 Å, c = 10.9078 Å, α = 90.00°, β = 93.73° and γ = 90.00°. The asymmetric unit holds Ac at (0.0995, 0.2500, 0.3545), Ac at (0.1578, 0.2500, 0.9245), Ac at (0.3645, 0.7500, 0.6384), Si at (0.1350, 0.2500, 0.6462), Te at (0.3670, 0.7500, 0.3302) and Br at (0.3775, 0.7500, 0.9295).

The calculation puts the uncorrected formation energy at -1055.4 meV per atom. The volume is 39.68 A^3/atom.

5.
The following is a DFT calculation (PBE-GGA) of a relaxed Ta3GeC crystal.

It has space group Pm-3m (No. 221), with a = 4.2845 Å, b = 4.2845 Å, c = 4.2845 Å, α = 90.00°, β = 90.00° and γ = 90.00°. The asymmetric unit holds Ta at (0.0000, 0.0000, 0.5000), Ge at (0.5000, 0.5000, 0.5000) and C at (0.0000, 0.0000, 0.0000).

The volume is 15.73 A^3/atom. The energy of formation comes out at 0.037 eV per atom.

6.
The following is a DFT calculation (PBE-GGA) of a relaxed K2MnBe crystal.

It has space group Pm (No. 6), with a = 3.1661 Å, b = 3.6772 Å, c = 10.0888 Å, α = 90.00°, β = 91.57° and γ = 90.00°. The asymmetric unit holds K at (0.0000, 0.0000, 0.0000), K at (0.4414, 0.5000, 0.4123), Mn at (0.4709, 0.0000, 0.6974) and Be at (0.9719, 0.5000, 0.7112).

The volume is 29.35 A^3/atom. The energy of formation comes out at 0.648 eV per atom.

7.
The following is a DFT calculation (PBE-GGA) of a relaxed CaZnCl2 crystal.

It has space group P2/m (No. 10), with a = 3.4792 Å, b = 3.4806 Å, c = 9.9127 Å, α = 90.00°, β = 90.62° and γ = 90.00°. The asymmetric unit holds Ca at (0.0000, 0.0000, 0.0000), Zn at (0.0000, 0.0000, 0.5000) and Cl at (0.4952, 0.5000, 0.8426).

The calculation puts the uncorrected formation energy at -1373.8 meV per atom. The volume is 30.01 A^3/atom.

8.
The following is a DFT calculation (PBE-GGA) of a relaxed La3Sm2Dy2 crystal.

It has space group C2/m (No. 12), with a = 17.8752 Å, b = 3.5525 Å, c = 8.6986 Å, α = 90.00°, β = 118.65° and γ = 90.00°. The asymmetric unit holds La at (0.0000, 0.0000, 0.0000), La at (0.2133, 0.0000, 0.2957), Sm at (0.0642, 0.5000, 0.4109) and Dy at (0.1444, 0.0000, 0.8274).

The volume is 34.63 A^3/atom. The energy of formation comes out at 0.110 eV per atom.